Record 1
LiTlW3 | Alexandria via LeMat-Bulk | meta-GGA SCAN | single point on PBEsol structure; E = -266.86 eV/cell; formation energy from the elements = 3.3901 eV/atom; volume = 122.6 Å³/f.u.
1.0
4.967 0.000 0.000
0.000 4.967 0.000
0.000 0.000 4.967
Li Tl W
1 1 3
Direct
0.000 0.000 0.000
0.500 0.500 0.500
0.000 0.500 0.500
0.500 0.000 0.500
0.500 0.500 0.000

---

Record 2
LiTl4W | Alexandria via LeMat-Bulk | meta-GGA SCAN | single point on PBEsol structure; E = -355.33 eV/cell; formation energy from the elements = 1.0303 eV/atom; volume = 153.9 Å³/f.u.
1.0
0.000 4.253 4.253
4.253 0.000 4.253
4.253 4.253 0.000
Li Tl W
1 4 1
Direct
0.000 0.000 0.000
0.375 0.375 0.375
0.375 0.375 0.874
0.375 0.874 0.375
0.874 0.375 0.375
0.750 0.750 0.750

---

Record 3
LiTlW | Alexandria via LeMat-Bulk | meta-GGA SCAN | single point on PBEsol structure; E = -142.48 eV/cell; formation energy from the elements = 0.6534 eV/atom; volume = 54.2 Å³/f.u.
1.0
2.919 0.000 0.000
-1.459 2.528 0.000
0.000 0.000 7.341
Li Tl W
1 1 1
Direct
0.000 0.000 0.000
0.333 0.667 0.669
0.667 0.333 0.321

---

Record 4
LiTl3W | Alexandria via LeMat-Bulk | meta-GGA SCAN | single point on PBEsol structure; E = -286.18 eV/cell; formation energy from the elements = 0.5950 eV/atom; volume = 150.9 Å³/f.u.
1.0
5.324 0.000 0.000
0.000 5.324 0.000
0.000 0.000 5.324
Li Tl W
1 3 1
Direct
0.000 0.000 0.000
0.000 0.500 0.500
0.500 0.000 0.500
0.500 0.500 0.000
0.500 0.500 0.500

---

Record 5
Li2TlW | Alexandria via LeMat-Bulk | meta-GGA SCAN | single point on PBEsol structure; E = -145.13 eV/cell; formation energy from the elements = 0.4235 eV/atom; volume = 69.3 Å³/f.u.
1.0
2.742 0.000 0.000
0.000 2.742 0.000
0.000 0.000 9.221
Li Tl W
2 1 1
Direct
0.000 0.000 0.237
0.000 0.000 0.763
0.500 0.500 0.500
0.500 0.500 0.000

---

Record 6
LiZrTl2W | Alexandria via LeMat-Bulk | meta-GGA SCAN | single point on PBEsol structure; E = -244.21 eV/cell; formation energy from the elements = 0.6565 eV/atom; volume = 143.2 Å³/f.u.
1.0
5.409 0.000 0.000
0.000 5.409 0.000
0.000 0.000 4.896
Li Zr Tl W
1 1 2 1
Direct
0.000 0.000 0.000
0.500 0.500 0.000
0.000 0.500 0.500
0.500 0.000 0.500
0.500 0.500 0.500

---

Record 7
Li4YTl | Alexandria via LeMat-Bulk | meta-GGA SCAN | single point on PBEsol structure; E = -110.83 eV/cell; formation energy from the elements = -0.1788 eV/atom; volume = 113.8 Å³/f.u.
1.0
0.000 3.846 3.846
3.846 0.000 3.846
3.846 3.846 0.000
Li Y Tl
4 1 1
Direct
0.376 0.376 0.376
0.376 0.376 0.873
0.376 0.873 0.376
0.873 0.376 0.376
0.000 0.000 0.000
0.750 0.750 0.750

---

Record 8
Li2YTl | Alexandria via LeMat-Bulk | meta-GGA SCAN | single point on PBEsol structure; energy relative to the lowest polymorph listed for this composition = 0 meV/atom; E = -426.47 eV/cell; formation energy from the elements = -0.4092 eV/atom; volume = 77.0 Å³/f.u.
1.0
6.755 0.000 0.000
0.000 6.755 0.000
0.000 0.000 6.755
Li Y Tl
8 4 4
Direct
0.250 0.250 0.250
0.250 0.250 0.750
0.250 0.750 0.250
0.250 0.750 0.750
0.750 0.250 0.250
0.750 0.250 0.750
0.750 0.750 0.250
0.750 0.750 0.750
0.000 0.000 0.000
0.000 0.500 0.500
0.500 0.000 0.500
0.500 0.500 0.000
0.000 0.000 0.500
0.000 0.500 0.000
0.500 0.000 0.000
0.500 0.500 0.500

---

Record 9
Li2YTl | Alexandria via LeMat-Bulk | meta-GGA SCAN | single point on PBEsol structure; energy relative to the lowest polymorph listed for this composition = 16 meV/atom; E = -426.21 eV/cell; formation energy from the elements = -0.3930 eV/atom; volume = 85.9 Å³/f.u.
1.0
7.004 0.000 0.000
0.000 7.004 0.000
0.000 0.000 7.004
Li Y Tl
8 4 4
Direct
0.000 0.000 0.000
0.000 0.500 0.500
0.250 0.250 0.250
0.250 0.750 0.750
0.500 0.000 0.500
0.500 0.500 0.000
0.750 0.250 0.750
0.750 0.750 0.250
0.250 0.250 0.750
0.250 0.750 0.250
0.750 0.250 0.250
0.750 0.750 0.750
0.000 0.000 0.500
0.000 0.500 0.000
0.500 0.000 0.000
0.500 0.500 0.500

---

Record 10
LiY2Tl2 | Alexandria via LeMat-Bulk | meta-GGA SCAN | single point on PBEsol structure; E = -410.87 eV/cell; formation energy from the elements = -0.5281 eV/atom; volume = 128.2 Å³/f.u.
1.0
7.457 0.000 0.000
0.000 7.457 0.000
0.000 0.000 4.609
Li Y Tl
2 4 4
Direct
0.000 0.000 0.000
0.500 0.500 0.000
0.163 0.337 0.500
0.337 0.837 0.500
0.663 0.163 0.500
0.837 0.663 0.500
0.145 0.645 0.000
0.355 0.145 0.000
0.645 0.855 0.000
0.855 0.355 0.000

---

Record 11
Li2YTl | Alexandria via LeMat-Bulk | meta-GGA SCAN | single point on PBEsol structure; energy relative to the lowest polymorph listed for this composition = 285 meV/atom; E = -210.96 eV/cell; formation energy from the elements = -0.1247 eV/atom; volume = 97.5 Å³/f.u.
1.0
6.212 0.000 0.000
0.000 10.883 0.000
-1.643 0.000 2.885
Li Y Tl
4 2 2
Direct
0.250 0.250 0.000
0.250 0.750 0.000
0.750 0.250 0.000
0.750 0.750 0.000
0.000 0.000 0.500
0.500 0.500 0.500
0.000 0.500 0.500
0.500 0.000 0.500

---

Record 12
LiTlZn2 | Alexandria via LeMat-Bulk | meta-GGA SCAN | single point on PBEsol structure; E = -304.44 eV/cell; formation energy from the elements = 0.0746 eV/atom; volume = 75.1 Å³/f.u.
1.0
3.130 0.000 0.000
-1.565 2.710 0.000
0.000 0.000 26.568
Li Tl Zn
3 3 6
Direct
0.000 0.000 0.000
0.333 0.667 0.667
0.667 0.333 0.333
0.000 0.000 0.758
0.333 0.667 0.424
0.667 0.333 0.091
0.000 0.000 0.255
0.000 0.000 0.515
0.333 0.667 0.182
0.333 0.667 0.921
0.667 0.333 0.588
0.667 0.333 0.849

---

Record 13
Li2TlZn | Alexandria via LeMat-Bulk | meta-GGA SCAN | single point on PBEsol structure; E = -91.54 eV/cell; formation energy from the elements = -0.2228 eV/atom; volume = 68.6 Å³/f.u.
1.0
3.117 0.000 0.000
0.000 3.253 0.000
0.000 0.000 6.763
Li Tl Zn
2 1 1
Direct
0.000 0.000 0.223
0.000 0.000 0.777
0.500 0.500 0.500
0.500 0.500 0.000

---

Record 14
LiTlZn2 | Alexandria via LeMat-Bulk | meta-GGA SCAN | single point on PBEsol structure; E = -203.37 eV/cell; formation energy from the elements = 0.0232 eV/atom; volume = 71.8 Å³/f.u.
1.0
5.546 0.000 0.000
0.000 9.997 0.000
-1.562 0.000 2.589
Li Tl Zn
2 2 4
Direct
0.000 0.000 0.000
0.500 0.500 0.000
0.000 0.500 0.000
0.500 0.000 0.000
0.250 0.250 0.000
0.250 0.750 0.000
0.750 0.250 0.000
0.750 0.750 0.000

---

Record 15
Li2TlZn | Alexandria via LeMat-Bulk | meta-GGA SCAN | single point on PBEsol structure; E = -91.57 eV/cell; formation energy from the elements = -0.2292 eV/atom; volume = 67.7 Å³/f.u.
1.0
4.480 0.000 0.000
0.000 4.480 0.000
0.000 0.000 3.373
Li Tl Zn
2 1 1
Direct
0.000 0.500 0.000
0.500 0.000 0.000
0.000 0.000 0.500
0.500 0.500 0.500

---

Record 16
Li2ZrTl | Alexandria via LeMat-Bulk | meta-GGA SCAN | single point on PBEsol structure; E = -108.18 eV/cell; formation energy from the elements = -0.0859 eV/atom; volume = 80.4 Å³/f.u.
1.0
3.521 0.000 0.000
0.000 4.754 0.000
0.000 0.000 4.804
Li Zr Tl
2 1 1
Direct
0.000 0.000 0.000
0.500 0.500 0.000
0.000 0.500 0.500
0.500 0.000 0.500

---

Record 17
LiZrTl | Alexandria via LeMat-Bulk | meta-GGA SCAN | single point on PBEsol structure; E = -106.07 eV/cell; formation energy from the elements = -0.2085 eV/atom; volume = 59.3 Å³/f.u.
1.0
4.617 0.000 0.000
-2.309 3.998 0.000
0.000 0.000 3.212
Li Zr Tl
1 1 1
Direct
0.000 0.000 0.000
0.667 0.333 0.500
0.333 0.667 0.000

---

Record 18
LiZrTl2 | Alexandria via LeMat-Bulk | meta-GGA SCAN | single point on PBEsol structure; E = -357.87 eV/cell; formation energy from the elements = -0.2822 eV/atom; volume = 86.1 Å³/f.u.
1.0
6.809 0.000 0.000
0.000 7.996 0.000
0.000 0.000 3.164
Li Zr Tl
2 2 4
Direct
0.000 0.000 0.000
0.500 0.500 0.000
0.000 0.500 0.000
0.500 0.000 0.000
0.250 0.250 0.500
0.250 0.750 0.500
0.750 0.250 0.500
0.750 0.750 0.500

---

Record 19
LiZrTl2 | Alexandria via LeMat-Bulk | meta-GGA SCAN | single point on PBEsol structure; E = -178.92 eV/cell; formation energy from the elements = -0.2798 eV/atom; volume = 85.8 Å³/f.u.
1.0
5.085 0.000 0.000
0.000 5.085 0.000
0.000 0.000 3.319
Li Zr Tl
1 1 2
Direct
0.000 0.000 0.000
0.500 0.500 0.000
0.000 0.500 0.500
0.500 0.000 0.500

---

Record 20
Li2ZrTl | Alexandria via LeMat-Bulk | meta-GGA SCAN | single point on PBEsol structure; E = -322.61 eV/cell; formation energy from the elements = 0.0748 eV/atom; volume = 85.0 Å³/f.u.
1.0
3.069 0.000 0.000
-1.535 2.658 0.000
0.000 0.000 31.246
Li Zr Tl
6 3 3
Direct
0.000 0.000 0.247
0.000 0.000 0.753
0.333 0.667 0.419
0.333 0.667 0.914
0.667 0.333 0.086
0.667 0.333 0.581
0.000 0.000 0.000
0.333 0.667 0.667
0.667 0.333 0.333
0.000 0.000 0.500
0.333 0.667 0.167
0.667 0.333 0.833

---

Record 21
Li2ZrTl | Alexandria via LeMat-Bulk | meta-GGA SCAN | single point on PBEsol structure; E = -215.12 eV/cell; formation energy from the elements = 0.0696 eV/atom; volume = 84.3 Å³/f.u.
1.0
3.219 0.000 0.000
0.000 5.091 0.000
0.000 0.000 10.288
Li Zr Tl
4 2 2
Direct
0.000 0.000 0.241
0.000 0.000 0.759
0.500 0.500 0.241
0.500 0.500 0.759
0.000 0.500 0.500
0.500 0.000 0.500
0.000 0.500 0.000
0.500 0.000 0.000

---

Record 22
LiW | Alexandria via LeMat-Bulk | meta-GGA SCAN | single point on PBEsol structure; energy relative to the lowest polymorph listed for this composition = 61 meV/atom; E = -284.36 eV/cell; formation energy from the elements = 0.4943 eV/atom; volume = 30.7 Å³/f.u.
1.0
2.522 0.000 0.000
0.000 11.310 0.000
0.000 0.000 4.306
Li W
4 4
Direct
0.000 0.054 0.250
0.000 0.946 0.750
0.500 0.446 0.750
0.500 0.554 0.250
0.000 0.304 0.250
0.000 0.696 0.750
0.500 0.196 0.750
0.500 0.804 0.250

---

Record 23
Li5W | Alexandria via LeMat-Bulk | meta-GGA SCAN | single point on PBEsol structure; E = -158.47 eV/cell; formation energy from the elements = 0.4004 eV/atom; volume = 98.1 Å³/f.u.
1.0
11.081 0.000 0.000
0.000 2.512 0.000
-1.494 0.000 7.046
Li W
10 2
Direct
0.000 0.000 0.000
0.061 0.000 0.618
0.164 0.500 0.313
0.249 0.500 0.981
0.326 0.000 0.639
0.500 0.500 0.000
0.561 0.500 0.618
0.664 0.000 0.313
0.749 0.000 0.981
0.826 0.500 0.639
0.403 0.000 0.298
0.903 0.500 0.298

---

Record 24
LiW | Alexandria via LeMat-Bulk | meta-GGA SCAN | single point on PBEsol structure; energy relative to the lowest polymorph listed for this composition = 0 meV/atom; E = -427.26 eV/cell; formation energy from the elements = 0.4336 eV/atom; volume = 32.0 Å³/f.u.
1.0
2.728 0.000 0.000
-1.364 2.362 0.000
0.000 0.000 29.827
Li W
6 6
Direct
0.000 0.000 0.123
0.000 0.000 0.877
0.333 0.667 0.544
0.333 0.667 0.789
0.667 0.333 0.211
0.667 0.333 0.456
0.000 0.000 0.374
0.000 0.000 0.626
0.333 0.667 0.041
0.333 0.667 0.293
0.667 0.333 0.707
0.667 0.333 0.959

---

Record 25
LiW | Alexandria via LeMat-Bulk | meta-GGA SCAN | single point on PBEsol structure; energy relative to the lowest polymorph listed for this composition = 114 meV/atom; E = -141.96 eV/cell; formation energy from the elements = 0.5480 eV/atom; volume = 32.3 Å³/f.u.
1.0
3.216 0.000 0.000
0.000 3.216 0.000
0.000 0.000 6.249
Li W
2 2
Direct
0.250 0.250 0.123
0.750 0.750 0.877
0.250 0.250 0.594
0.750 0.750 0.406

---

Record 26
Li3W | Alexandria via LeMat-Bulk | meta-GGA SCAN | single point on PBEsol structure; energy relative to the lowest polymorph listed for this composition = 294 meV/atom; E = -148.76 eV/cell; formation energy from the elements = 0.6192 eV/atom; volume = 59.9 Å³/f.u.
1.0
2.466 0.000 0.000
0.000 4.917 0.000
0.000 0.000 9.882
Li W
6 2
Direct
0.000 0.000 0.000
0.000 0.500 0.265
0.000 0.500 0.735
0.500 0.000 0.235
0.500 0.000 0.765
0.500 0.500 0.500
0.000 0.000 0.500
0.500 0.500 0.000

---

Record 27
LiW3 | Alexandria via LeMat-Bulk | meta-GGA SCAN | single point on PBEsol structure; E = -210.04 eV/cell; formation energy from the elements = 0.3522 eV/atom; volume = 60.1 Å³/f.u.
1.0
2.639 0.000 0.000
0.000 4.429 0.000
-0.765 0.000 5.142
Li W
1 3
Direct
0.000 0.000 0.000
0.232 0.500 0.750
0.500 0.000 0.500
0.768 0.500 0.250

---

Record 28
Li3W | Alexandria via LeMat-Bulk | meta-GGA SCAN | single point on PBEsol structure; energy relative to the lowest polymorph listed for this composition = 0 meV/atom; E = -226.67 eV/cell; formation energy from the elements = 0.3255 eV/atom; volume = 64.4 Å³/f.u.
1.0
2.719 0.000 0.000
-1.360 2.355 0.000
0.000 0.000 30.177
Li W
9 3
Direct
0.000 0.000 0.000
0.000 0.000 0.246
0.000 0.000 0.754
0.333 0.667 0.420
0.333 0.667 0.667
0.333 0.667 0.913
0.667 0.333 0.087
0.667 0.333 0.333
0.667 0.333 0.580
0.000 0.000 0.500
0.333 0.667 0.167
0.667 0.333 0.833

---

Record 29
LiYW4 | Alexandria via LeMat-Bulk | meta-GGA SCAN | single point on PBEsol structure; E = -305.86 eV/cell; formation energy from the elements = 0.5214 eV/atom; volume = 110.6 Å³/f.u.
1.0
0.000 3.810 3.810
3.810 0.000 3.810
3.810 3.810 0.000
Li Y W
1 1 4
Direct
0.000 0.000 0.000
0.250 0.250 0.250
0.124 0.625 0.625
0.625 0.124 0.625
0.625 0.625 0.124
0.625 0.625 0.625

---

Record 30
LiY2W | Alexandria via LeMat-Bulk | meta-GGA SCAN | single point on PBEsol structure; energy relative to the lowest polymorph listed for this composition = 53 meV/atom; E = -125.01 eV/cell; formation energy from the elements = 0.6889 eV/atom; volume = 87.4 Å³/f.u.
1.0
5.322 0.000 0.000
0.000 3.003 0.000
-2.367 0.000 5.471
Li Y W
1 2 1
Direct
0.000 0.000 0.000
0.000 0.000 0.500
0.500 0.500 0.000
0.500 0.500 0.500